Record 1
First-principles (PBE-GGA) data for a relaxed structure of InSbPd4, as listed in the Alexandria database.

The structure in CIF format:
```
data_InSbPd4
_chemical_formula_sum 'In4 Sb4 Pd16'
_cell_length_a 7.5064
_cell_length_b 3.2253
_cell_length_c 17.3887
_cell_angle_alpha 90.00
_cell_angle_beta 90.00
_cell_angle_gamma 90.00
_symmetry_space_group_name_H-M 'P 1'
_symmetry_Int_Tables_number 1
loop_
_symmetry_equiv_pos_as_xyz
'x,y,z'
loop_
_atom_site_label
_atom_site_fract_x
_atom_site_fract_y
_atom_site_fract_z
_atom_site_occupancy
In1 0.2395 0.2500 0.1897 1
In2 0.2605 0.7500 0.6897 1
In3 0.7395 0.2500 0.3103 1
In4 0.7605 0.7500 0.8103 1
Sb1 0.2486 0.7500 0.4393 1
Sb2 0.2514 0.2500 0.9393 1
Sb3 0.7486 0.7500 0.0607 1
Sb4 0.7514 0.2500 0.5607 1
Pd1 0.0471 0.7500 0.5659 1
Pd2 0.0530 0.7500 0.2981 1
Pd3 0.1139 0.7500 0.0587 1
Pd4 0.1149 0.7500 0.8317 1
Pd5 0.3851 0.2500 0.3317 1
Pd6 0.3861 0.2500 0.5587 1
Pd7 0.4470 0.2500 0.7981 1
Pd8 0.4529 0.2500 0.0659 1
Pd9 0.5471 0.7500 0.9341 1
Pd10 0.5530 0.7500 0.2019 1
Pd11 0.6139 0.7500 0.4413 1
Pd12 0.6149 0.7500 0.6683 1
Pd13 0.8851 0.2500 0.1683 1
Pd14 0.8861 0.2500 0.9413 1
Pd15 0.9470 0.2500 0.7019 1
Pd16 0.9529 0.2500 0.4341 1
```

Its density of states at the Fermi level is 0.308 states/eV/atom. Its volume is 421 Å³ per cell. The value obtained for the final energy is -5.06 eV per atom. The space group is Pnma, No. 62.

***

Record 2
First-principles (PBE-GGA) data for a relaxed structure of MgF, as listed in the Alexandria database.

The structure in CIF format:
```
data_MgF
_chemical_formula_sum 'Mg4 F4'
_cell_length_a 5.6693
_cell_length_b 5.6693
_cell_length_c 5.6693
_cell_angle_alpha 109.47
_cell_angle_beta 109.47
_cell_angle_gamma 109.47
_symmetry_space_group_name_H-M 'P 1'
_symmetry_Int_Tables_number 1
loop_
_symmetry_equiv_pos_as_xyz
'x,y,z'
loop_
_atom_site_label
_atom_site_fract_x
_atom_site_fract_y
_atom_site_fract_z
_atom_site_occupancy
Mg1 0.0000 0.0000 0.3638 1
Mg2 0.0000 0.3638 0.0000 1
Mg3 0.3638 0.0000 0.0000 1
Mg4 0.6362 0.6362 0.6362 1
F1 0.0000 0.0000 0.7198 1
F2 0.0000 0.7198 0.0000 1
F3 0.2802 0.2802 0.2802 1
F4 0.7198 0.0000 0.0000 1
```

The value obtained for the distance to the lowest polymorph of the same formula is 0.304 eV per atom. Its density of states at the Fermi level is 0.288 states/eV/atom. Its volume is 140 Å³ per cell. The value obtained for the final energy is -3.87 eV per atom. The space group is I-43m, No. 217.